Record 1
AgCl: PBEsol geometry, SCAN.

CIF file:
```
data_AgCl
_chemical_formula_sum 'Ag6 Cl6'
_cell_length_a 3.665
_cell_length_b 11.086
_cell_length_c 6.170
_cell_angle_alpha 90.00
_cell_angle_beta 90.00
_cell_angle_gamma 90.00
_space_group_name_H-M_alt 'I m m 2'
_space_group_IT_number 44
_space_group_name_Hall 'I 2 -2'
loop_
_atom_site_label
_atom_site_type_symbol
_atom_site_fract_x
_atom_site_fract_y
_atom_site_fract_z
Ag1 Ag 0.000 0.000 0.000
Ag2 Ag 0.000 0.128 0.426
Cl1 Cl 0.000 0.330 0.626
Cl2 Cl 0.000 0.500 0.152
```

Computed properties:
Formation energy (no corrections) (eV/atom): -0.521
Total DFT energy (no corrections) (eV/atom): -20.193
Crystal system: orthorhombic

Record 2
AgCl3: PBEsol geometry, SCAN.

CIF file:
```
data_AgCl3
_chemical_formula_sum 'Ag1 Cl3'
_cell_length_a 2.955
_cell_length_b 2.955
_cell_length_c 10.051
_cell_angle_alpha 90.00
_cell_angle_beta 90.00
_cell_angle_gamma 90.00
_space_group_name_H-M_alt 'P 4/m m m'
_space_group_IT_number 123
_space_group_name_Hall '-P 4 2'
loop_
_atom_site_label
_atom_site_type_symbol
_atom_site_fract_x
_atom_site_fract_y
_atom_site_fract_z
Ag1 Ag 0.000 0.000 0.000
Cl1 Cl 0.000 0.000 0.500
Cl2 Cl 0.500 0.500 0.178
```

Computed properties:
Formation energy (no corrections) (eV/atom): 0.157
Total DFT energy (no corrections) (eV/atom): -13.668
Crystal system: tetragonal

Record 3
AgCl3: PBEsol geometry, SCAN.

CIF file:
```
data_AgCl3
_chemical_formula_sum 'Ag2 Cl6'
_cell_length_a 6.868
_cell_length_b 3.894
_cell_length_c 7.014
_cell_angle_alpha 90.00
_cell_angle_beta 93.77
_cell_angle_gamma 90.00
_space_group_name_H-M_alt 'C 1 2/m 1'
_space_group_IT_number 12
_space_group_name_Hall '-C 2y'
loop_
_atom_site_label
_atom_site_type_symbol
_atom_site_fract_x
_atom_site_fract_y
_atom_site_fract_z
Ag1 Ag 0.000 0.000 0.000
Cl1 Cl 0.000 0.500 0.500
Cl2 Cl 0.157 0.500 0.800
```

Computed properties:
Formation energy (no corrections) (eV/atom): -0.247
Total DFT energy (no corrections) (eV/atom): -14.072
Crystal system: monoclinic

Record 4
AgCl: PBEsol geometry, SCAN.

CIF file:
```
data_AgCl
_chemical_formula_sum 'Ag2 Cl2'
_cell_length_a 4.096
_cell_length_b 5.037
_cell_length_c 4.123
_cell_angle_alpha 90.00
_cell_angle_beta 103.86
_cell_angle_gamma 90.00
_space_group_name_H-M_alt 'P 1 21/m 1'
_space_group_IT_number 11
_space_group_name_Hall '-P 2yb'
loop_
_atom_site_label
_atom_site_type_symbol
_atom_site_fract_x
_atom_site_fract_y
_atom_site_fract_z
Ag1 Ag 0.111 0.250 0.385
Cl1 Cl 0.292 0.750 0.209
```

Computed properties:
Formation energy (no corrections) (eV/atom): -0.524
Total DFT energy (no corrections) (eV/atom): -20.197
Crystal system: monoclinic

Record 5
AgCl: PBEsol geometry, SCAN.

CIF file:
```
data_AgCl
_chemical_formula_sum 'Ag1 Cl1'
_cell_length_a 3.6516
_cell_length_b 3.6516
_cell_length_c 3.4709
_cell_angle_alpha 90.00
_cell_angle_beta 90.00
_cell_angle_gamma 120.00
_space_group_name_H-M_alt 'P -6 m 2'
_space_group_IT_number 187
_space_group_name_Hall 'P -6 2'
loop_
_atom_site_label
_atom_site_type_symbol
_atom_site_fract_x
_atom_site_fract_y
_atom_site_fract_z
Ag1 Ag 0.0000 0.0000 0.0000
Cl1 Cl 0.3333 0.6667 0.5000
```

Computed properties:
Formation energy (no corrections) (eV/atom): -0.495
Total DFT energy (no corrections) (eV/atom): -20.168
Crystal system: hexagonal

Record 6
AgCl: PBEsol geometry, SCAN.

CIF file:
```
data_AgCl
_chemical_formula_sum 'Ag2 Cl2'
_cell_length_a 3.919
_cell_length_b 5.756
_cell_length_c 3.503
_cell_angle_alpha 90.00
_cell_angle_beta 90.00
_cell_angle_gamma 90.00
_space_group_name_H-M_alt 'C m m m'
_space_group_IT_number 65
_space_group_name_Hall '-C 2 2'
loop_
_atom_site_label
_atom_site_type_symbol
_atom_site_fract_x
_atom_site_fract_y
_atom_site_fract_z
Ag1 Ag 0.000 0.000 0.000
Cl1 Cl 0.000 0.500 0.500
```

Computed properties:
Formation energy (no corrections) (eV/atom): -0.460
Total DFT energy (no corrections) (eV/atom): -20.132
Crystal system: orthorhombic

Record 7
CoAgCl4: PBEsol geometry, SCAN.

CIF file:
```
data_CoAgCl4
_chemical_formula_sum 'Co4 Ag4 Cl16'
_cell_length_a 7.971
_cell_length_b 7.971
_cell_length_c 7.971
_cell_angle_alpha 90.00
_cell_angle_beta 90.00
_cell_angle_gamma 90.00
_space_group_name_H-M_alt 'F -4 3 m'
_space_group_IT_number 216
_space_group_name_Hall 'F -4 2 3'
loop_
_atom_site_label
_atom_site_type_symbol
_atom_site_fract_x
_atom_site_fract_y
_atom_site_fract_z
Co1 Co 0.000 0.000 0.000
Ag1 Ag 0.250 0.250 0.250
Cl1 Cl 0.125 0.125 0.625
```

Computed properties:
Formation energy (no corrections) (eV/atom): 0.744
Total DFT energy (no corrections) (eV/atom): -12.686
Crystal system: cubic

Record 8
Cs5CoAgCl8: PBEsol geometry, SCAN.

CIF file:
```
data_Cs5CoAgCl8
_chemical_formula_sum 'Cs40 Co8 Ag8 Cl64'
_cell_length_a 12.850
_cell_length_b 23.434
_cell_length_c 12.825
_cell_angle_alpha 90.00
_cell_angle_beta 90.00
_cell_angle_gamma 90.00
_space_group_name_H-M_alt 'F m m 2'
_space_group_IT_number 42
_space_group_name_Hall 'F 2 -2'
loop_
_atom_site_label
_atom_site_type_symbol
_atom_site_fract_x
_atom_site_fract_y
_atom_site_fract_z
Cs1 Cs 0.000 0.090 0.000
Cs2 Cs 0.000 0.102 0.315
Cs3 Cs 0.157 0.093 0.658
Cs4 Cs 0.250 0.250 0.408
Co1 Co 0.000 0.250 0.158
Ag1 Ag 0.211 0.000 0.383
Cl1 Cl 0.000 0.000 0.496
Cl2 Cl 0.000 0.000 0.796
Cl3 Cl 0.000 0.193 0.519
Cl4 Cl 0.000 0.195 0.799
Cl5 Cl 0.140 0.194 0.154
Cl6 Cl 0.144 0.000 0.183
Cl7 Cl 0.250 0.100 0.410
```

Computed properties:
Formation energy (no corrections) (eV/atom): -1.780
Total DFT energy (no corrections) (eV/atom): -21.883
Crystal system: orthorhombic